# 1
Material: NiH2SeO5
Method: DFT, GGA-PBEsol
State: relaxed

The structure in CIF format:
```
data_NiH2SeO5
_cell_length_a 6.801
_cell_length_b 8.025
_cell_length_c 7.434
_cell_angle_alpha 90.00
_cell_angle_beta 116.87
_cell_angle_gamma 90.00
_space_group_name_H-M_alt 'C 1 2/c 1'
_space_group_IT_number 15
loop_
_space_group_symop_operation_xyz
'x,y,z'
'-x,-y,-z'
'-x,y,-z+1/2'
'x,-y,z+1/2'
'x+1/2,y+1/2,z'
'-x+1/2,-y+1/2,-z'
'-x+1/2,y+1/2,-z+1/2'
'x+1/2,-y+1/2,z+1/2'
loop_
_atom_site_label
_atom_site_fract_x
_atom_site_fract_y
_atom_site_fract_z
Ni1 0.000 0.000 0.000
H1 0.135 0.197 0.300
Se1 0.000 0.333 0.750
O1 0.000 0.122 0.250
O2 0.131 0.213 0.652
O3 0.189 0.447 0.933
```



# 2
Material: Ni3H2Se3O10
Method: DFT, GGA-PBEsol
State: relaxed

The structure in CIF format:
```
data_Ni3H2Se3O10
_cell_length_a 7.877
_cell_length_b 7.957
_cell_length_c 8.170
_cell_angle_alpha 70.47
_cell_angle_beta 63.25
_cell_angle_gamma 68.76
_space_group_name_H-M_alt 'P -1'
_space_group_IT_number 2
loop_
_space_group_symop_operation_xyz
'x,y,z'
'-x,-y,-z'
loop_
_atom_site_label
_atom_site_fract_x
_atom_site_fract_y
_atom_site_fract_z
Ni1 0.000 0.000 0.000
Ni2 0.151 0.539 0.302
Ni3 0.207 0.368 0.891
Ni4 0.500 0.500 0.500
H1 0.438 0.309 0.094
H2 0.463 0.619 0.810
Se1 0.073 0.742 0.727
Se2 0.299 0.163 0.551
Se3 0.326 0.839 0.203
O1 0.033 0.452 0.172
O2 0.060 0.184 0.061
O3 0.090 0.324 0.519
O4 0.197 0.788 0.108
O5 0.205 0.002 0.740
O6 0.299 0.599 0.742
O7 0.300 0.643 0.386
O8 0.370 0.283 0.645
O9 0.411 0.371 0.197
O10 0.439 0.221 0.957
```



no.,final energy (eV/atom)
1,-5.547
2,-5.724